No. 1
# PBE-GGA SmZn2CuNi, optimized geometry
data_SmZn2CuNi
_chemical_formula_sum 'Sm2 Zn4 Cu2 Ni2'
_cell_length_a 3.779
_cell_length_b 4.054
_cell_length_c 11.201
_cell_angle_alpha 90.00
_cell_angle_beta 90.00
_cell_angle_gamma 90.00
_symmetry_space_group_name_H-M 'P 1'
_symmetry_Int_Tables_number 1
loop_
_symmetry_equiv_pos_as_xyz
'x,y,z'
loop_
_atom_site_label
_atom_site_type_symbol
_atom_site_fract_x
_atom_site_fract_y
_atom_site_fract_z
Sm1 Sm 0.000 0.000 0.000
Sm2 Sm 0.500 0.500 0.500
Zn1 Zn 0.000 0.000 0.376
Zn2 Zn 0.000 0.500 0.236
Zn3 Zn 0.500 0.000 0.736
Zn4 Zn 0.500 0.500 0.876
Cu1 Cu 0.000 0.500 0.727
Cu2 Cu 0.500 0.000 0.227
Ni1 Ni 0.000 0.000 0.593
Ni2 Ni 0.500 0.500 0.093
# - mass density (Mg/m³) = 7.81
# - total magnetic moment (μB/f.u.) = 0.0
# - energy relative to the elements (kJ/mol of atoms) = -25
# - Fermi-level density of states (states/eV per atom) = 0.683
# - space-group type = Imm2, No. 44

=====

No. 2
# PBE-GGA Sm2Zn12CuNi3, optimized geometry
data_Sm2Zn12CuNi3
_chemical_formula_sum 'Sm2 Zn12 Cu1 Ni3'
_cell_length_a 7.398
_cell_length_b 7.398
_cell_length_c 7.398
_cell_angle_alpha 72.52
_cell_angle_beta 72.52
_cell_angle_gamma 72.52
_symmetry_space_group_name_H-M 'P 1'
_symmetry_Int_Tables_number 1
loop_
_symmetry_equiv_pos_as_xyz
'x,y,z'
loop_
_atom_site_label
_atom_site_type_symbol
_atom_site_fract_x
_atom_site_fract_y
_atom_site_fract_z
Sm1 Sm 0.110 0.110 0.110
Sm2 Sm 0.890 0.890 0.890
Zn1 Zn 0.152 0.637 0.637
Zn2 Zn 0.196 0.196 0.653
Zn3 Zn 0.196 0.653 0.196
Zn4 Zn 0.347 0.804 0.804
Zn5 Zn 0.363 0.363 0.848
Zn6 Zn 0.363 0.848 0.363
Zn7 Zn 0.637 0.152 0.637
Zn8 Zn 0.637 0.637 0.152
Zn9 Zn 0.653 0.196 0.196
Zn10 Zn 0.804 0.347 0.804
Zn11 Zn 0.804 0.804 0.347
Zn12 Zn 0.848 0.363 0.363
Cu1 Cu 0.500 0.500 0.500
Ni1 Ni 0.000 0.500 0.500
Ni2 Ni 0.500 0.000 0.500
Ni3 Ni 0.500 0.500 0.000
# - mass density (Mg/m³) = 6.14
# - total magnetic moment (μB/f.u.) = 0.0
# - energy relative to the elements (kJ/mol of atoms) = 20
# - Fermi-level density of states (states/eV per atom) = 0.493
# - space-group type = R-3m, No. 166

=====

No. 3
# PBE-GGA SmZn6CuNi, optimized geometry
data_SmZn6CuNi
_chemical_formula_sum 'Sm2 Zn12 Cu2 Ni2'
_cell_length_a 8.318
_cell_length_b 8.318
_cell_length_c 8.318
_cell_angle_alpha 132.92
_cell_angle_beta 117.72
_cell_angle_gamma 81.60
_symmetry_space_group_name_H-M 'P 1'
_symmetry_Int_Tables_number 1
loop_
_symmetry_equiv_pos_as_xyz
'x,y,z'
loop_
_atom_site_label
_atom_site_type_symbol
_atom_site_fract_x
_atom_site_fract_y
_atom_site_fract_z
Sm1 Sm 0.402 0.152 0.250
Sm2 Sm 0.598 0.848 0.750
Zn1 Zn 0.137 0.448 0.283
Zn2 Zn 0.137 0.854 0.690
Zn3 Zn 0.149 0.899 0.250
Zn4 Zn 0.335 0.146 0.783
Zn5 Zn 0.335 0.552 0.190
Zn6 Zn 0.335 0.585 0.750
Zn7 Zn 0.665 0.415 0.250
Zn8 Zn 0.665 0.448 0.810
Zn9 Zn 0.665 0.854 0.217
Zn10 Zn 0.851 0.101 0.750
Zn11 Zn 0.863 0.146 0.310
Zn12 Zn 0.863 0.552 0.717
Cu1 Cu 0.000 0.000 0.500
Cu2 Cu 0.000 0.500 0.000
Ni1 Ni 0.000 0.500 0.500
Ni2 Ni 0.500 0.500 0.000
# - mass density (Mg/m³) = 6.14
# - total magnetic moment (μB/f.u.) = 0.0
# - energy relative to the elements (kJ/mol of atoms) = 19
# - Fermi-level density of states (states/eV per atom) = 0.508
# - space-group type = Imma, No. 74

=====

No. 4
# PBE-GGA SmZnCuNi, optimized geometry
data_SmZnCuNi
_chemical_formula_sum 'Sm2 Zn2 Cu2 Ni2'
_cell_length_a 7.326
_cell_length_b 4.237
_cell_length_c 5.219
_cell_angle_alpha 90.00
_cell_angle_beta 118.10
_cell_angle_gamma 90.00
_symmetry_space_group_name_H-M 'P 1'
_symmetry_Int_Tables_number 1
loop_
_symmetry_equiv_pos_as_xyz
'x,y,z'
loop_
_atom_site_label
_atom_site_type_symbol
_atom_site_fract_x
_atom_site_fract_y
_atom_site_fract_z
Sm1 Sm 0.000 0.000 0.000
Sm2 Sm 0.500 0.500 0.000
Zn1 Zn 0.008 0.500 0.526
Zn2 Zn 0.508 0.000 0.526
Cu1 Cu 0.296 0.500 0.389
Cu2 Cu 0.796 0.000 0.389
Ni1 Ni 0.203 0.000 0.609
Ni2 Ni 0.703 0.500 0.609
# - mass density (Mg/m³) = 7.86
# - total magnetic moment (μB/f.u.) = 0.0
# - energy relative to the elements (kJ/mol of atoms) = -29
# - Fermi-level density of states (states/eV per atom) = 0.616
# - distance to the lowest polymorph of the same formula (meV per atom) = 0
# - space-group type = Cm, No. 8

=====

No. 5
# PBE-GGA Sm2Zn3Cu12Ni, optimized geometry
data_Sm2Zn3Cu12Ni
_chemical_formula_sum 'Sm2 Zn3 Cu12 Ni1'
_cell_length_a 9.560
_cell_length_b 9.560
_cell_length_c 9.560
_cell_angle_alpha 37.58
_cell_angle_beta 37.58
_cell_angle_gamma 37.58
_symmetry_space_group_name_H-M 'P 1'
_symmetry_Int_Tables_number 1
loop_
_symmetry_equiv_pos_as_xyz
'x,y,z'
loop_
_atom_site_label
_atom_site_type_symbol
_atom_site_fract_x
_atom_site_fract_y
_atom_site_fract_z
Sm1 Sm 0.151 0.151 0.151
Sm2 Sm 0.849 0.849 0.849
Zn1 Zn 0.000 0.500 0.500
Zn2 Zn 0.500 0.000 0.500
Zn3 Zn 0.500 0.500 0.000
Cu1 Cu 0.080 0.080 0.690
Cu2 Cu 0.080 0.690 0.080
Cu3 Cu 0.148 0.572 0.572
Cu4 Cu 0.310 0.920 0.920
Cu5 Cu 0.428 0.428 0.852
Cu6 Cu 0.428 0.852 0.428
Cu7 Cu 0.572 0.148 0.572
Cu8 Cu 0.572 0.572 0.148
Cu9 Cu 0.690 0.080 0.080
Cu10 Cu 0.852 0.428 0.428
Cu11 Cu 0.920 0.310 0.920
Cu12 Cu 0.920 0.920 0.310
Ni1 Ni 0.500 0.500 0.500
# - mass density (Mg/m³) = 7.51
# - total magnetic moment (μB/f.u.) = 0.0
# - energy relative to the elements (kJ/mol of atoms) = 12
# - Fermi-level density of states (states/eV per atom) = 0.410
# - space-group type = R-3m, No. 166

=====

No. 6
# PBE-GGA Sm2Zn2CuNi5, optimized geometry
data_Sm2Zn2CuNi5
_chemical_formula_sum 'Sm4 Zn4 Cu2 Ni10'
_cell_length_a 9.282
_cell_length_b 9.282
_cell_length_c 3.582
_cell_angle_alpha 90.00
_cell_angle_beta 90.00
_cell_angle_gamma 90.00
_symmetry_space_group_name_H-M 'P 1'
_symmetry_Int_Tables_number 1
loop_
_symmetry_equiv_pos_as_xyz
'x,y,z'
loop_
_atom_site_label
_atom_site_type_symbol
_atom_site_fract_x
_atom_site_fract_y
_atom_site_fract_z
Sm1 Sm 0.180 0.320 0.000
Sm2 Sm 0.320 0.820 0.000
Sm3 Sm 0.680 0.180 0.000
Sm4 Sm 0.820 0.680 0.000
Zn1 Zn 0.118 0.618 0.000
Zn2 Zn 0.382 0.118 0.000
Zn3 Zn 0.618 0.882 0.000
Zn4 Zn 0.882 0.382 0.000
Cu1 Cu 0.000 0.000 0.000
Cu2 Cu 0.500 0.500 0.000
Ni1 Ni 0.000 0.500 0.500
Ni2 Ni 0.056 0.802 0.500
Ni3 Ni 0.198 0.056 0.500
Ni4 Ni 0.302 0.556 0.500
Ni5 Ni 0.444 0.302 0.500
Ni6 Ni 0.500 0.000 0.500
Ni7 Ni 0.556 0.698 0.500
Ni8 Ni 0.698 0.444 0.500
Ni9 Ni 0.802 0.944 0.500
Ni10 Ni 0.944 0.198 0.500
# - mass density (Mg/m³) = 8.49
# - total magnetic moment (μB/f.u.) = 0.0
# - energy relative to the elements (kJ/mol of atoms) = -14
# - Fermi-level density of states (states/eV per atom) = 0.466
# - space-group type = P4/mbm, No. 127

=====

No. 7
# PBE-GGA Sm2ZrCu3Ni12, optimized geometry
data_Sm2ZrCu3Ni12
_chemical_formula_sum 'Sm2 Zr1 Cu3 Ni12'
_cell_length_a 6.360
_cell_length_b 6.360
_cell_length_c 6.360
_cell_angle_alpha 82.96
_cell_angle_beta 82.96
_cell_angle_gamma 82.96
_symmetry_space_group_name_H-M 'P 1'
_symmetry_Int_Tables_number 1
loop_
_symmetry_equiv_pos_as_xyz
'x,y,z'
loop_
_atom_site_label
_atom_site_type_symbol
_atom_site_fract_x
_atom_site_fract_y
_atom_site_fract_z
Sm1 Sm 0.208 0.208 0.208
Sm2 Sm 0.792 0.792 0.792
Zr1 Zr 0.500 0.500 0.500
Cu1 Cu 0.000 0.500 0.500
Cu2 Cu 0.500 0.000 0.500
Cu3 Cu 0.500 0.500 0.000
Ni1 Ni 0.091 0.091 0.638
Ni2 Ni 0.091 0.638 0.091
Ni3 Ni 0.211 0.702 0.702
Ni4 Ni 0.298 0.298 0.789
Ni5 Ni 0.298 0.789 0.298
Ni6 Ni 0.362 0.909 0.909
Ni7 Ni 0.638 0.091 0.091
Ni8 Ni 0.702 0.211 0.702
Ni9 Ni 0.702 0.702 0.211
Ni10 Ni 0.789 0.298 0.298
Ni11 Ni 0.909 0.362 0.909
Ni12 Ni 0.909 0.909 0.362
# - mass density (Mg/m³) = 8.49
# - total magnetic moment (μB/f.u.) = 0.0
# - energy relative to the elements (kJ/mol of atoms) = 1
# - Fermi-level density of states (states/eV per atom) = 1.064
# - space-group type = R-3m, No. 166

=====

No. 8
# PBE-GGA Cu2Ni3Sn, optimized geometry
data_Cu2Ni3Sn
_chemical_formula_sum 'Cu4 Ni6 Sn2'
_cell_length_a 6.988
_cell_length_b 6.988
_cell_length_c 4.657
_cell_angle_alpha 90.00
_cell_angle_beta 90.00
_cell_angle_gamma 136.26
_symmetry_space_group_name_H-M 'P 1'
_symmetry_Int_Tables_number 1
loop_
_symmetry_equiv_pos_as_xyz
'x,y,z'
loop_
_atom_site_label
_atom_site_type_symbol
_atom_site_fract_x
_atom_site_fract_y
_atom_site_fract_z
Cu1 Cu 0.235 0.235 0.000
Cu2 Cu 0.235 0.235 0.500
Cu3 Cu 0.765 0.765 0.000
Cu4 Cu 0.765 0.765 0.500
Ni1 Ni 0.076 0.420 0.750
Ni2 Ni 0.153 0.847 0.750
Ni3 Ni 0.420 0.076 0.250
Ni4 Ni 0.580 0.924 0.750
Ni5 Ni 0.847 0.153 0.250
Ni6 Ni 0.924 0.580 0.250
Sn1 Sn 0.341 0.659 0.250
Sn2 Sn 0.659 0.341 0.750
# - mass density (Mg/m³) = 8.91
# - total magnetic moment (μB/f.u.) = 0.0
# - energy relative to the elements (kJ/mol of atoms) = 4
# - Fermi-level density of states (states/eV per atom) = 0.751
# - space-group type = Cmcm, No. 63

=====

No. 9
# PBE-GGA Cu5Ni6Sn, optimized geometry
data_Cu5Ni6Sn
_chemical_formula_sum 'Cu5 Ni6 Sn1'
_cell_length_a 5.877
_cell_length_b 5.877
_cell_length_c 6.920
_cell_angle_alpha 90.00
_cell_angle_beta 90.00
_cell_angle_gamma 142.95
_symmetry_space_group_name_H-M 'P 1'
_symmetry_Int_Tables_number 1
loop_
_symmetry_equiv_pos_as_xyz
'x,y,z'
loop_
_atom_site_label
_atom_site_type_symbol
_atom_site_fract_x
_atom_site_fract_y
_atom_site_fract_z
Cu1 Cu 0.000 0.000 0.000
Cu2 Cu 0.325 0.675 0.500
Cu3 Cu 0.334 0.666 0.000
Cu4 Cu 0.666 0.334 0.000
Cu5 Cu 0.675 0.325 0.500
Ni1 Ni 0.170 0.830 0.241
Ni2 Ni 0.170 0.830 0.759
Ni3 Ni 0.500 0.500 0.240
Ni4 Ni 0.500 0.500 0.760
Ni5 Ni 0.830 0.170 0.241
Ni6 Ni 0.830 0.170 0.759
Sn1 Sn 0.000 0.000 0.500
# - mass density (Mg/m³) = 9.09
# - total magnetic moment (μB/f.u.) = 0.0
# - energy relative to the elements (kJ/mol of atoms) = -2
# - Fermi-level density of states (states/eV per atom) = 1.106
# - space-group type = Cmmm, No. 65

=====

No. 10
# PBE-GGA Cu2Ni12Sn5, optimized geometry
data_Cu2Ni12Sn5
_chemical_formula_sum 'Cu2 Ni12 Sn5'
_cell_length_a 7.089
_cell_length_b 7.089
_cell_length_c 6.227
_cell_angle_alpha 92.30
_cell_angle_beta 92.30
_cell_angle_gamma 57.04
_symmetry_space_group_name_H-M 'P 1'
_symmetry_Int_Tables_number 1
loop_
_symmetry_equiv_pos_as_xyz
'x,y,z'
loop_
_atom_site_label
_atom_site_type_symbol
_atom_site_fract_x
_atom_site_fract_y
_atom_site_fract_z
Cu1 Cu 0.205 0.795 0.000
Cu2 Cu 0.795 0.205 0.000
Ni1 Ni 0.053 0.053 0.677
Ni2 Ni 0.094 0.689 0.640
Ni3 Ni 0.158 0.535 0.242
Ni4 Ni 0.311 0.906 0.360
Ni5 Ni 0.393 0.393 0.904
Ni6 Ni 0.465 0.842 0.758
Ni7 Ni 0.535 0.158 0.242
Ni8 Ni 0.607 0.607 0.096
Ni9 Ni 0.689 0.094 0.640
Ni10 Ni 0.842 0.465 0.758
Ni11 Ni 0.906 0.311 0.360
Ni12 Ni 0.947 0.947 0.323
Sn1 Sn 0.187 0.187 0.040
Sn2 Sn 0.256 0.256 0.572
Sn3 Sn 0.500 0.500 0.500
Sn4 Sn 0.744 0.744 0.428
Sn5 Sn 0.813 0.813 0.960
# - mass density (Mg/m³) = 9.02
# - total magnetic moment (μB/f.u.) = 0.0
# - energy relative to the elements (kJ/mol of atoms) = -2
# - Fermi-level density of states (states/eV per atom) = 0.915
# - space-group type = C2/m, No. 12

=====

Q: What is the total magnetic moment in the eighth record?
A: 0.0 μB/f.u.